Entry 1:
ScInCl2: relaxed, PBE-GGA.

Lattice parameters (Å, degrees): 5.0734 5.0734 5.0734 60.00 60.00 60.00
Closest atoms and distances in Å follow each position.
Element x y z (fractional)
Sc 0.0000 0.0000 0.0000  8 Cl 3.11
Cl 0.2500 0.2500 0.2500  4 In 3.11, 4 Sc 3.11
In 0.5000 0.5000 0.5000  8 Cl 3.11
Cl 0.7500 0.7500 0.7500  4 Sc 3.11, 4 In 3.11

Calculated values
Formation energy without anion corrections in eV/atom: -0.66
Calculated volume in Å³ per cell: 92.3
VASP energy in Ry per atom: -0.28295
SG: No. 225

---

Entry 2:
La2Cr: relaxed, PBE-GGA.

Lattice parameters (Å, degrees): 14.2677 14.2677 14.2677 165.23 165.23 20.95
Closest atoms and distances in Å follow each position.
Element x y z (fractional)
La 0.5644 0.5644 0.0000  4 Cr 3.16
La 0.1856 0.6856 0.5000  4 Cr 3.16
La 0.3144 0.8144 0.5000  4 Cr 3.16
Cr 0.7500 0.2500 0.5000  8 La 3.16
Cr 0.0000 0.0000 0.0000  8 La 3.16
La 0.4356 0.4356 0.0000  4 Cr 3.16

Calculated values
Calculated volume in Å³ per cell: 188.8
VASP energy in Ry per atom: -0.44673
SG: No. 141
ΔH_f (0 K) in eV/f.u.: 1.24

---

Entry 3:
K4TaRh: relaxed, PBE-GGA.

Lattice parameters (Å, degrees): 6.5420 6.5420 6.5420 60.00 60.00 60.00
Closest atoms and distances in Å follow each position.
Element x y z (fractional)
K 0.8716 0.3761 0.3761  6 K 3.24-3.30
Ta 0.0000 0.0000 0.0000  12 K 3.84, 4 Rh 4.01
Rh 0.7500 0.7500 0.7500  12 K 3.83, 4 Ta 4.01
K 0.3761 0.3761 0.8716  6 K 3.24-3.30
K 0.3761 0.3761 0.3761  6 K 3.24-3.30
K 0.3761 0.8716 0.3761  6 K 3.24-3.30

Calculated values
Calculated volume in Å³ per cell: 198.0
VASP energy in Ry per atom: -0.17439
SG: No. 216
ΔH_f (0 K) in eV/f.u.: 9.36

---

Entry 4:
Nd2Y3Sc4: relaxed, PBE-GGA.

Lattice parameters (Å, degrees): 5.8313 10.9072 10.9072 62.49 64.07 64.07
Closest atoms and distances in Å follow each position.
Element x y z (fractional)
Y 0.7096 0.7275 0.9534  8 Sc 3.20-3.57, 2 Nd 3.47
Sc 0.5608 0.0726 0.8292  3 Sc 3.12-3.49, 4 Y 3.20-3.37, 1 Nd 3.38
Sc 0.6230 0.4034 0.1287  2 Sc 3.13-3.49, 4 Y 3.30-3.42, 3 Nd 3.38-3.47
Y 0.2500 0.6305 0.3695  2 Sc 3.31, 6 Nd 3.51-3.55
Nd 0.9497 0.5026 0.2491  5 Sc 3.38-3.69, 5 Y 3.47-3.55
Sc 0.4392 0.9274 0.1708  3 Sc 3.12-3.49, 4 Y 3.20-3.37, 1 Nd 3.38
Sc 0.3770 0.5966 0.8713  2 Sc 3.13-3.49, 4 Y 3.30-3.42, 3 Nd 3.38-3.47
Nd 0.0503 0.4974 0.7509  5 Sc 3.38-3.69, 5 Y 3.47-3.55
Nd 0.5503 0.7509 0.4974  5 Sc 3.38-3.69, 5 Y 3.47-3.55
Sc 0.1230 0.1287 0.4034  2 Sc 3.13-3.49, 4 Y 3.30-3.42, 3 Nd 3.38-3.47
Nd 0.4497 0.2491 0.5026  5 Sc 3.38-3.69, 5 Y 3.47-3.55
Sc 0.0608 0.8292 0.0726  3 Sc 3.12-3.49, 4 Y 3.20-3.37, 1 Nd 3.38
Sc 0.9392 0.1708 0.9274  3 Sc 3.12-3.49, 4 Y 3.20-3.37, 1 Nd 3.38
Sc 0.8770 0.8713 0.5966  2 Sc 3.13-3.49, 4 Y 3.30-3.42, 3 Nd 3.38-3.47
Y 0.2096 0.9534 0.7275  8 Sc 3.20-3.57, 2 Nd 3.47
Y 0.7904 0.0466 0.2725  8 Sc 3.20-3.57, 2 Nd 3.47
Y 0.2904 0.2725 0.0466  8 Sc 3.20-3.57, 2 Nd 3.47
Y 0.7500 0.3695 0.6305  2 Sc 3.31, 6 Nd 3.51-3.55

Calculated values
Calculated volume in Å³ per cell: 528.7
VASP energy in Ry per atom: -0.43491
SG: No. 15
ΔH_f (0 K) in eV/f.u.: 1.00

---

Entry 5:
Mg3CrGe: relaxed, PBE-GGA.

Lattice parameters (Å, degrees): 5.1097 5.1097 5.1097 90.00 90.00 90.00
Closest atoms and distances in Å follow each position.
Element x y z (fractional)
Ge 0.5000 0.5000 0.5000  12 Mg 3.61
Mg 0.0000 0.5000 0.0000  2 Cr 2.55
Mg 0.0000 0.0000 0.5000  2 Cr 2.55
Cr 0.0000 0.0000 0.0000  6 Mg 2.55
Mg 0.5000 0.0000 0.0000  2 Cr 2.55

Calculated values
Calculated volume in Å³ per cell: 133.4
VASP energy in Ry per atom: -0.21617
SG: No. 221
ΔH_f (0 K) in eV/f.u.: 4.32

---

Entry 6:
NaGaSb2: relaxed, PBE-GGA.

Lattice parameters (Å, degrees): 3.2509 3.2509 9.6780 90.00 90.00 90.00
Closest atoms and distances in Å follow each position.
Element x y z (fractional)
Na 0.5000 0.5000 0.5000  4 Na 3.25, 8 Sb 3.39
Sb 0.0000 0.0000 0.2422  4 Sb 3.25, 4 Ga 3.28, 4 Na 3.39
Ga 0.5000 0.5000 0.0000  4 Ga 3.25, 8 Sb 3.28
Sb 0.0000 0.0000 0.7578  4 Sb 3.25, 4 Ga 3.28, 4 Na 3.39

Calculated values
Formation energy without anion corrections in eV/atom: -0.09
Calculated volume in Å³ per cell: 102.3
VASP energy in Ry per atom: -0.23761
SG: No. 123

---

Total magnetic moment (Bohr magnetons per cell)
1.70 5.40 4.02 0.00 3.87 0.00